! TlCd3In7 (PBE, relaxed); values from VASP
! distance to the lowest polymorph of the same formula = 0.21 eV/f.u.
! symmetry = C2/m (12)
&SYSTEM
  ibrav = 0, nat = 11, ntyp = 3
/
ATOMIC_SPECIES
Tl 204.38 Tl.upf
Cd 112.41 Cd.upf
In 114.82 In.upf
CELL_PARAMETERS angstrom
4.9294 -5.5747 0.0000
4.9294 5.5747 0.0000
-2.2787 0.0000 5.6432
ATOMIC_POSITIONS angstrom
Tl 0.0000 0.0000 0.0000
Cd 3.7901 2.6281 2.8216
Cd 4.9294 0.0000 0.0000
Cd 3.7901 -2.6281 2.8216
In -1.1393 0.0000 2.8216
In 1.2981 2.5276 4.6257
In 2.2073 0.0000 2.3706
In 6.2821 2.5276 1.0175
In 1.2981 -2.5276 4.6257
In 5.3729 0.0000 3.2726
In 6.2821 -2.5276 1.0175

! ErMgZnCo (PBE, relaxed); values from VASP
! symmetry = F-43m (216)
&SYSTEM
  ibrav = 0, nat = 16, ntyp = 4
/
ATOMIC_SPECIES
Er 167.26 Er.upf
Mg 24.30 Mg.upf
Zn 65.41 Zn.upf
Co 58.93 Co.upf
CELL_PARAMETERS angstrom
6.5966 0.0000 0.0000
0.0000 6.5966 0.0000
0.0000 0.0000 6.5966
ATOMIC_POSITIONS angstrom
Er 0.0000 0.0000 0.0000
Er 0.0000 3.2983 3.2983
Er 3.2983 0.0000 3.2983
Er 3.2983 3.2983 0.0000
Mg 0.0000 0.0000 3.2983
Mg 0.0000 3.2983 0.0000
Mg 3.2983 0.0000 0.0000
Mg 3.2983 3.2983 3.2983
Zn 1.6491 1.6491 1.6491
Zn 1.6491 4.9474 4.9474
Zn 4.9474 1.6491 4.9474
Zn 4.9474 4.9474 1.6491
Co 1.6491 1.6491 4.9474
Co 1.6491 4.9474 1.6491
Co 4.9474 1.6491 1.6491
Co 4.9474 4.9474 4.9474

! TlBiSb2 (PBE, relaxed); values from VASP
! formation energy without anion corrections = 0.13 eV per atom
! distance to the lowest polymorph of the same formula = 0.06 eV/f.u.
! symmetry = R3m (160)
&SYSTEM
  ibrav = 0, nat = 12, ntyp = 3
/
ATOMIC_SPECIES
Tl 204.38 Tl.upf
Bi 208.98 Bi.upf
Sb 121.76 Sb.upf
CELL_PARAMETERS angstrom
4.2985 0.0000 0.0000
-2.1493 3.7226 0.0000
0.0000 0.0000 24.4064
ATOMIC_POSITIONS angstrom
Tl 0.0000 0.0000 0.0000
Tl 0.0000 2.4817 16.2710
Tl 2.1493 1.2409 8.1355
Bi 0.0000 0.0000 20.3039
Bi 0.0000 2.4817 12.1685
Bi 2.1493 1.2409 4.0330
Sb 0.0000 0.0000 6.0429
Sb 0.0000 0.0000 10.2443
Sb 0.0000 2.4817 2.1089
Sb 0.0000 2.4817 22.3139
Sb 2.1493 1.2409 14.1784
Sb 2.1493 1.2409 18.3798

! CeYCdCu (PBE, relaxed); values from VASP
! symmetry = F-43m (216)
&SYSTEM
  ibrav = 0, nat = 16, ntyp = 4
/
ATOMIC_SPECIES
Ce 140.12 Ce.upf
Y 88.91 Y.upf
Cd 112.41 Cd.upf
Cu 63.55 Cu.upf
CELL_PARAMETERS angstrom
7.3522 0.0000 0.0000
0.0000 7.3522 0.0000
0.0000 0.0000 7.3522
ATOMIC_POSITIONS angstrom
Ce 0.0000 0.0000 0.0000
Ce 0.0000 3.6761 3.6761
Ce 3.6761 0.0000 3.6761
Ce 3.6761 3.6761 0.0000
Y 0.0000 0.0000 3.6761
Y 0.0000 3.6761 0.0000
Y 3.6761 0.0000 0.0000
Y 3.6761 3.6761 3.6761
Cd 1.8380 1.8380 5.5141
Cd 1.8380 5.5141 1.8380
Cd 5.5141 1.8380 1.8380
Cd 5.5141 5.5141 5.5141
Cu 1.8380 1.8380 1.8380
Cu 1.8380 5.5141 5.5141
Cu 5.5141 1.8380 5.5141
Cu 5.5141 5.5141 1.8380

! LaIn2Os (PBE, relaxed); values from VASP
! symmetry = P4/mmm (123)
&SYSTEM
  ibrav = 0, nat = 4, ntyp = 3
/
ATOMIC_SPECIES
La 138.91 La.upf
In 114.82 In.upf
Os 190.23 Os.upf
CELL_PARAMETERS angstrom
4.3017 0.0000 0.0000
0.0000 4.3017 0.0000
0.0000 0.0000 4.9989
ATOMIC_POSITIONS angstrom
La 0.0000 0.0000 0.0000
In 0.0000 2.1509 2.4994
In 2.1509 0.0000 2.4994
Os 2.1509 2.1509 0.0000

! Sm2Ru2O7 (PBE, relaxed); values from VASP
! formation energy without anion corrections = -2.09 eV per atom
! symmetry = Fd-3m (227)
&SYSTEM
  ibrav = 0, nat = 22, ntyp = 3
/
ATOMIC_SPECIES
Sm 150.36 Sm.upf
Ru 101.07 Ru.upf
O 16.00 O.upf
CELL_PARAMETERS angstrom
0.0000 5.1937 5.1937
5.1937 0.0000 5.1937
5.1937 5.1937 0.0000
ATOMIC_POSITIONS angstrom
Sm 0.0000 0.0000 0.0000
Sm 2.5969 2.5969 0.0000
Sm 2.5969 0.0000 2.5969
Sm 0.0000 2.5969 2.5969
Ru 5.1937 2.5969 2.5969
Ru 2.5969 5.1937 2.5969
Ru 2.5969 2.5969 5.1937
Ru 5.1937 5.1937 5.1937
O 1.2984 1.2984 1.2984
O 3.8953 3.8953 1.7350
O 3.8953 1.7350 3.8953
O 6.0556 3.8953 3.8953
O 6.4922 6.4922 4.3319
O 6.4922 4.3319 6.4922
O 8.6525 6.4922 6.4922
O 1.7350 3.8953 3.8953
O 3.8953 6.0556 3.8953
O 3.8953 3.8953 6.0556
O 4.3319 6.4922 6.4922
O 6.4922 8.6525 6.4922
O 6.4922 6.4922 8.6525
O 9.0890 9.0890 9.0890

! CaPtS (PBE, relaxed); values from VASP
! formation energy without anion corrections = -1.13 eV per atom
! symmetry = P2_1/m (11)
&SYSTEM
  ibrav = 0, nat = 6, ntyp = 3
/
ATOMIC_SPECIES
Ca 40.08 Ca.upf
Pt 195.08 Pt.upf
S 32.06 S.upf
CELL_PARAMETERS angstrom
4.1698 0.0000 0.0000
0.0000 7.9072 0.0000
-1.9564 0.0000 3.7087
ATOMIC_POSITIONS angstrom
Ca 0.0000 0.0000 0.0000
Ca 0.0000 3.9536 0.0000
Pt -0.0209 1.9768 2.5204
Pt 2.2342 5.9304 1.1883
S -0.0605 5.9304 2.5860
S 2.2739 1.9768 1.1227

! Cd5Sn2Hg12 (PBE, relaxed); values from VASP
! symmetry = C2/m (12)
&SYSTEM
  ibrav = 0, nat = 19, ntyp = 3
/
ATOMIC_SPECIES
Cd 112.41 Cd.upf
Sn 118.71 Sn.upf
Hg 200.59 Hg.upf
CELL_PARAMETERS angstrom
8.3583 -4.0618 0.0000
8.3583 4.0618 0.0000
-2.9718 0.0000 7.4250
ATOMIC_POSITIONS angstrom
Cd 0.0000 0.0000 0.0000
Cd -0.0285 0.0000 5.9883
Cd 4.3070 0.0000 1.1726
Cd 9.4379 0.0000 6.2524
Cd 13.7734 0.0000 1.4367
Sn 6.8724 2.3807 3.7125
Sn 6.8724 -2.3807 3.7125
Hg 2.5634 1.6058 5.3323
Hg 1.0876 0.0000 2.7870
Hg 6.9768 1.4795 0.7001
Hg 6.7681 1.4795 6.7249
Hg 4.9712 0.0000 4.1403
Hg 2.5634 -1.6058 5.3323
Hg 11.1815 1.6058 2.0926
Hg 8.7737 0.0000 3.2847
Hg 6.9768 -1.4795 0.7001
Hg 6.7681 -1.4795 6.7249
Hg 12.6573 0.0000 4.6380
Hg 11.1815 -1.6058 2.0926

! Ca3P5Rh6 (PBE, relaxed); values from VASP
! symmetry = Pmmn (59)
&SYSTEM
  ibrav = 0, nat = 28, ntyp = 3
/
ATOMIC_SPECIES
Ca 40.08 Ca.upf
P 30.97 P.upf
Rh 102.91 Rh.upf
CELL_PARAMETERS angstrom
3.8573 0.0000 0.0000
0.0000 12.2570 0.0000
0.0000 0.0000 9.8332
ATOMIC_POSITIONS angstrom
Ca 0.9643 1.2419 2.4399
Ca 0.9643 4.8866 2.4399
Ca 0.9643 9.1927 2.6261
Ca 2.8929 3.0642 7.2071
Ca 2.8929 7.3703 7.3933
Ca 2.8929 11.0151 7.3933
P 0.9643 0.8952 8.2913
P 0.9643 5.2332 8.2913
P 0.9643 7.7188 5.0970
P 0.9643 9.1927 8.7940
P 0.9643 10.6667 5.0970
P 2.8929 1.5903 4.7362
P 2.8929 3.0642 1.0392
P 2.8929 4.5382 4.7362
P 2.8929 7.0237 1.5419
P 2.8929 11.3617 1.5419
Rh 0.9643 0.5707 5.9151
Rh 0.9643 3.0642 4.7945
Rh 0.9643 3.0642 9.5626
Rh 0.9643 5.5578 5.9151
Rh 0.9643 7.1290 0.1532
Rh 0.9643 11.2564 0.1532
Rh 2.8929 1.0005 9.6800
Rh 2.8929 5.1280 9.6800
Rh 2.8929 6.6992 3.9181
Rh 2.8929 9.1927 0.2705
Rh 2.8929 9.1927 5.0387
Rh 2.8929 11.6862 3.9181

! CoReNi (PBE, relaxed); values from VASP
! distance to the lowest polymorph of the same formula = 1.02 eV/f.u.
! symmetry = C2/m (12)
&SYSTEM
  ibrav = 0, nat = 12, ntyp = 3
/
ATOMIC_SPECIES
Co 58.93 Co.upf
Re 186.21 Re.upf
Ni 58.69 Ni.upf
CELL_PARAMETERS angstrom
15.7191 0.0000 0.0000
0.0000 3.9309 0.0000
-0.4053 0.0000 2.4932
ATOMIC_POSITIONS angstrom
Co 0.8360 0.0000 0.7754
Co 6.6183 1.9654 1.7179
Co 8.6955 1.9654 0.7754
Co 14.4778 0.0000 1.7179
Re 1.7622 1.9654 2.2022
Re 5.6920 0.0000 0.2911
Re 9.6218 0.0000 2.2022
Re 13.5516 1.9654 0.2911
Ni 3.1544 0.0000 1.1483
Ni 4.2999 1.9654 1.3450
Ni 11.0139 1.9654 1.1483
Ni 12.1594 0.0000 1.3450

! H5Pd2PtRh (PBE, relaxed); values from VASP
! symmetry = Cmc2_1 (36)
&SYSTEM
  ibrav = 0, nat = 18, ntyp = 4
/
ATOMIC_SPECIES
H 1.01 H.upf
Pd 106.42 Pd.upf
Pt 195.08 Pt.upf
Rh 102.91 Rh.upf
CELL_PARAMETERS angstrom
1.4953 -5.6333 0.0000
1.4953 5.6333 0.0000
0.0000 0.0000 9.3072
ATOMIC_POSITIONS angstrom
H 1.4953 5.4359 4.6536
H 1.4953 2.0762 8.9187
H 1.4953 1.3148 4.6190
H 1.4953 1.2262 2.5152
H 1.4953 0.9173 6.7393
H 1.4953 -0.9173 2.0857
H 1.4953 -1.2262 7.1688
H 1.4953 -1.3148 9.2726
H 1.4953 -2.0762 4.2651
H 1.4953 -5.4359 0.0000
Pd 1.4953 4.1862 1.2135
Pd 1.4953 4.1652 6.0712
Pd 1.4953 -4.1652 1.4176
Pd 1.4953 -4.1862 5.8671
Pt 1.4953 2.7326 3.5895
Pt 1.4953 -2.7326 8.2431
Rh 1.4953 0.2818 8.3429
Rh 1.4953 -0.2818 3.6893

! Cs2SmTlCl6 (PBE, relaxed); values from VASP
! formation energy without anion corrections = -1.97 eV per atom
! symmetry = P2_1/c (14)
&SYSTEM
  ibrav = 0, nat = 20, ntyp = 4
/
ATOMIC_SPECIES
Cs 132.91 Cs.upf
Sm 150.36 Sm.upf
Tl 204.38 Tl.upf
Cl 35.45 Cl.upf
CELL_PARAMETERS angstrom
7.9897 0.0000 0.0000
0.0000 8.2974 0.0000
-7.9564 0.0000 11.4456
ATOMIC_POSITIONS angstrom
Cs -0.1191 0.4724 2.8589
Cs -4.0973 3.6763 8.5817
Cs 4.1306 4.6211 2.8639
Cs 0.1524 7.8249 8.5868
Sm 3.9948 0.0000 0.0000
Sm 0.0166 4.1487 5.7228
Tl -3.9782 0.0000 5.7228
Tl 0.0000 4.1487 0.0000
Cl -6.1568 1.5331 10.9731
Cl -2.1786 2.6155 5.2503
Cl -5.4061 6.0526 10.9047
Cl -1.4280 6.3935 5.1819
Cl -3.2891 0.2220 8.8246
Cl 0.6891 3.9266 3.1018
Cl -0.6558 4.3707 8.3439
Cl 3.3224 8.0753 2.6210
Cl 1.4613 1.9039 6.2638
Cl 5.4394 2.2448 0.5409
Cl 2.2119 5.6818 6.1954
Cl 6.1901 6.7642 0.4726

Number 1: VASP energy -2.115 eV per atom. Number 2: VASP energy -3.727 eV per atom. Number 3: VASP energy -3.496 eV per atom. Number 4: VASP energy -4.458 eV per atom. Number 5: VASP energy -5.276 eV per atom. Number 6: VASP energy -7.793 eV per atom. Number 7: VASP energy -5.183 eV per atom. Number 8: VASP energy -0.806 eV per atom. Number 9: VASP energy -6.460 eV per atom. Number 10: VASP energy -8.158 eV per atom. Number 11: VASP energy -4.498 eV per atom. Number 12: VASP energy -3.956 eV per atom.